(a)
Computed, not measured: a relaxed structure of Ce2PuPa at the PBE-GGA level of DFT. Values from VASP.

Results
Size of the total moment ... 5.1 μB per cell
Calculated volume ... 101.3 Å³ per cell

```
&SYSTEM
  ibrav = 0, nat = 4, ntyp = 3
/
ATOMIC_SPECIES
Ce 140.12 Ce.upf
Pu 244.00 Pu.upf
Pa 231.04 Pa.upf
ATOMIC_POSITIONS crystal
Ce 0.000 0.000 0.250
Ce 0.000 0.000 0.750
Pu 0.500 0.500 0.500
Pa 0.500 0.500 0.000
CELL_PARAMETERS angstrom
3.270 0.000 0.000
0.000 3.270 0.000
0.000 0.000 9.470
```

---

(b)
Computed, not measured: a relaxed structure of Ce2PuPa at the PBE-GGA level of DFT. Values from VASP.

Results
Size of the total moment ... 5.3 μB per cell
Calculated volume ... 106.7 Å³ per cell

```
&SYSTEM
  ibrav = 0, nat = 4, ntyp = 3
/
ATOMIC_SPECIES
Pa 231.04 Pa.upf
Ce 140.12 Ce.upf
Pu 244.00 Pu.upf
ATOMIC_POSITIONS crystal
Pa 0.511 0.511 0.468
Ce 0.240 0.240 0.279
Ce 0.069 0.069 0.794
Pu 0.680 0.680 0.959
CELL_PARAMETERS angstrom
4.025 0.000 0.000
2.013 3.486 0.000
2.013 1.162 7.606
```

---

(c)
Computed, not measured: a relaxed structure of Ce2PuPa at the PBE-GGA level of DFT. Values from VASP.

Results
Size of the total moment ... 5.0 μB per cell
Calculated volume ... 99.6 Å³ per cell

```
&SYSTEM
  ibrav = 0, nat = 4, ntyp = 3
/
ATOMIC_SPECIES
Ce 140.12 Ce.upf
Pa 231.04 Pa.upf
Pu 244.00 Pu.upf
ATOMIC_POSITIONS crystal
Ce 0.000 0.500 0.000
Ce 0.000 0.000 0.500
Pa 0.500 0.500 0.500
Pu 0.500 0.000 0.000
CELL_PARAMETERS angstrom
4.817 0.000 0.000
0.000 4.548 0.000
0.000 0.000 4.548
```

---

(d)
Computed, not measured: a relaxed structure of Ce2PuPa at the PBE-GGA level of DFT. Values from VASP.

Results
Size of the total moment ... 6.0 μB per cell
Calculated volume ... 100.6 Å³ per cell

```
&SYSTEM
  ibrav = 0, nat = 4, ntyp = 3
/
ATOMIC_SPECIES
Ce 140.12 Ce.upf
Pu 244.00 Pu.upf
Pa 231.04 Pa.upf
ATOMIC_POSITIONS crystal
Ce 0.250 0.250 0.250
Ce 0.750 0.750 0.750
Pu 0.500 0.500 0.500
Pa 0.000 0.000 0.000
CELL_PARAMETERS angstrom
-3.179 -3.630 1.991
-1.188 -4.246 -2.795
1.904 -4.658 1.391
```

---

Each structure's energy above the most stable one, in eV/atom: (a) 0.028; (b) 0.387; (c) 0.000; (d) 0.190.

---

(a)
Computed, not measured: a relaxed structure of Ce2PuPa6 at the PBE-GGA level of DFT. Values from VASP.

Results
Size of the total moment ... 5.3 μB per cell
Calculated volume ... 221.7 Å³ per cell

```
&SYSTEM
  ibrav = 0, nat = 9, ntyp = 3
/
ATOMIC_SPECIES
Pa 231.04 Pa.upf
Ce 140.12 Ce.upf
Pu 244.00 Pu.upf
ATOMIC_POSITIONS crystal
Pa 0.673 0.666 0.666
Pa 0.828 0.504 0.170
Pa 0.828 0.170 0.504
Pa 0.172 0.830 0.496
Pa 0.327 0.334 0.334
Pa 0.172 0.496 0.830
Ce 0.500 0.835 0.165
Ce 0.500 0.165 0.835
Pu 0.000 0.000 0.000
CELL_PARAMETERS angstrom
3.238 0.186 0.261
0.345 9.076 -1.226
0.345 -4.149 8.165
```

---

(b)
Computed, not measured: a relaxed structure of Ce2PuPa6 at the PBE-GGA level of DFT. Values from VASP.

Results
Size of the total moment ... 4.9 μB per cell
Calculated volume ... 220.1 Å³ per cell

```
&SYSTEM
  ibrav = 0, nat = 9, ntyp = 3
/
ATOMIC_SPECIES
Ce 140.12 Ce.upf
Pa 231.04 Pa.upf
Pu 244.00 Pu.upf
ATOMIC_POSITIONS crystal
Ce 0.500 0.333 0.667
Ce 0.500 0.667 0.333
Pa 0.257 0.669 0.669
Pa 0.257 0.000 0.331
Pa 0.743 0.331 0.331
Pa 0.257 0.331 0.000
Pa 0.743 0.000 0.669
Pa 0.743 0.669 0.000
Pu 0.000 0.000 0.000
CELL_PARAMETERS angstrom
-0.636 -2.280 -2.192
5.891 -5.381 3.886
-8.492 -0.110 2.583
```

---

Each structure's energy above the most stable one, in eV/atom: (a) 0.000; (b) 0.072.

---

(a)
Computed, not measured: a relaxed structure of CePaRe2 at the PBE-GGA level of DFT. Values from VASP.

Results
Size of the total moment ... 0.0 μB per cell
Calculated volume ... 83.5 Å³ per cell

```
&SYSTEM
  ibrav = 0, nat = 4, ntyp = 3
/
ATOMIC_SPECIES
Re 186.21 Re.upf
Ce 140.12 Ce.upf
Pa 231.04 Pa.upf
ATOMIC_POSITIONS crystal
Re 0.750 0.750 0.750
Re 0.250 0.250 0.250
Ce 0.000 0.000 0.000
Pa 0.500 0.500 0.500
CELL_PARAMETERS angstrom
4.906 0.000 0.000
2.453 4.248 0.000
2.453 1.416 4.006
```

---

(b)
Computed, not measured: a relaxed structure of CePaRe2 at the PBE-GGA level of DFT. Values from VASP.

Results
Size of the total moment ... 0.0 μB per cell
Calculated volume ... 84.1 Å³ per cell

```
&SYSTEM
  ibrav = 0, nat = 4, ntyp = 3
/
ATOMIC_SPECIES
Re 186.21 Re.upf
Pa 231.04 Pa.upf
Ce 140.12 Ce.upf
ATOMIC_POSITIONS crystal
Re 0.000 0.000 0.771
Re 0.000 0.000 0.229
Pa 0.500 0.500 0.000
Ce 0.500 0.500 0.500
CELL_PARAMETERS angstrom
-1.238 1.484 -2.869
2.090 -1.975 -1.923
-5.006 -4.921 -0.384
```

---

Each structure's energy above the most stable one, in eV/atom: (a) 0.030; (b) 0.000.

---

(a)
Computed, not measured: a relaxed structure of CePaRh4 at the PBE-GGA level of DFT. Values from VASP.

Results
Size of the total moment ... 0.0 μB per cell
Calculated volume ... 107.1 Å³ per cell

```
&SYSTEM
  ibrav = 0, nat = 6, ntyp = 3
/
ATOMIC_SPECIES
Ce 140.12 Ce.upf
Rh 102.91 Rh.upf
Pa 231.04 Pa.upf
ATOMIC_POSITIONS crystal
Ce 0.250 0.250 0.250
Rh 0.625 0.125 0.625
Rh 0.625 0.625 0.625
Rh 0.125 0.625 0.625
Rh 0.625 0.625 0.125
Pa 0.000 0.000 0.000
CELL_PARAMETERS angstrom
5.330 0.000 0.000
2.665 4.616 0.000
2.665 1.539 4.352
```

---

(b)
Computed, not measured: a relaxed structure of CePaRh4 at the PBE-GGA level of DFT. Values from VASP.

Results
Size of the total moment ... 0.0 μB per cell
Calculated volume ... 225.7 Å³ per cell

```
&SYSTEM
  ibrav = 0, nat = 12, ntyp = 3
/
ATOMIC_SPECIES
Rh 102.91 Rh.upf
Ce 140.12 Ce.upf
Pa 231.04 Pa.upf
ATOMIC_POSITIONS crystal
Rh 0.500 0.962 0.750
Rh 0.000 0.000 0.000
Rh 0.500 0.311 0.974
Rh 0.500 0.689 0.474
Rh 0.500 0.038 0.250
Rh 0.500 0.689 0.026
Rh 0.000 0.000 0.500
Rh 0.500 0.311 0.526
Ce 0.000 0.308 0.250
Ce 0.000 0.692 0.750
Pa 0.000 0.746 0.250
Pa 0.000 0.254 0.750
CELL_PARAMETERS angstrom
3.912 0.000 0.000
0.000 7.129 0.000
0.000 0.000 8.091
```

---

(c)
Computed, not measured: a relaxed structure of CePaRh4 at the PBE-GGA level of DFT. Values from VASP.

Results
Size of the total moment ... 0.0 μB per cell
Calculated volume ... 452.4 Å³ per cell

```
&SYSTEM
  ibrav = 0, nat = 24, ntyp = 3
/
ATOMIC_SPECIES
Rh 102.91 Rh.upf
Ce 140.12 Ce.upf
Pa 231.04 Pa.upf
ATOMIC_POSITIONS crystal
Rh 0.750 0.352 0.317
Rh 0.750 0.759 0.412
Rh 0.250 0.648 0.683
Rh 0.750 0.259 0.088
Rh 0.750 0.852 0.183
Rh 0.250 0.959 0.065
Rh 0.750 0.541 0.565
Rh 0.250 0.047 0.371
Rh 0.250 0.241 0.588
Rh 0.250 0.741 0.912
Rh 0.750 0.953 0.629
Rh 0.250 0.459 0.435
Rh 0.250 0.148 0.817
Rh 0.750 0.041 0.935
Rh 0.250 0.547 0.129
Rh 0.750 0.453 0.871
Ce 0.750 0.320 0.715
Ce 0.250 0.680 0.285
Ce 0.750 0.820 0.785
Ce 0.250 0.180 0.215
Pa 0.250 0.299 0.970
Pa 0.250 0.799 0.530
Pa 0.750 0.701 0.030
Pa 0.750 0.201 0.470
CELL_PARAMETERS angstrom
-3.775 -0.447 -0.663
0.962 -6.909 -0.825
-2.593 -2.312 16.327
```

---

Each structure's energy above the most stable one, in eV/atom: (a) 0.000; (b) 0.025; (c) 0.067.

---

(a)
Computed, not measured: a relaxed structure of CePaRuRh at the PBE-GGA level of DFT. Values from VASP.

Results
Size of the total moment ... 0.0 μB per cell
Calculated volume ... 85.1 Å³ per cell

```
&SYSTEM
  ibrav = 0, nat = 4, ntyp = 4
/
ATOMIC_SPECIES
Ru 101.07 Ru.upf
Rh 102.91 Rh.upf
Pa 231.04 Pa.upf
Ce 140.12 Ce.upf
ATOMIC_POSITIONS crystal
Ru 0.601 0.500 0.203
Rh 0.402 0.000 0.805
Pa 0.135 0.000 0.270
Ce 0.861 0.500 0.722
CELL_PARAMETERS angstrom
3.817 0.000 0.000
0.000 3.902 0.000
-1.909 0.000 5.713
```

---

(b)
Computed, not measured: a relaxed structure of CePaRuRh at the PBE-GGA level of DFT. Values from VASP.

Results
Size of the total moment ... 0.3 μB per cell
Calculated volume ... 81.6 Å³ per cell

```
&SYSTEM
  ibrav = 0, nat = 4, ntyp = 4
/
ATOMIC_SPECIES
Rh 102.91 Rh.upf
Ce 140.12 Ce.upf
Ru 101.07 Ru.upf
Pa 231.04 Pa.upf
ATOMIC_POSITIONS crystal
Rh 0.250 0.250 0.250
Ce 0.000 0.000 0.000
Ru 0.750 0.750 0.750
Pa 0.500 0.500 0.500
CELL_PARAMETERS angstrom
4.869 0.000 0.000
2.435 4.217 0.000
2.435 1.406 3.976
```

---

Each structure's energy above the most stable one, in eV/atom: (a) 0.000; (b) 0.195.

---

(a)
Computed, not measured: a relaxed structure of CePaRu4 at the PBE-GGA level of DFT. Values from VASP.

Results
Size of the total moment ... 0.0 μB per cell
Calculated volume ... 107.5 Å³ per cell

```
&SYSTEM
  ibrav = 0, nat = 6, ntyp = 3
/
ATOMIC_SPECIES
Ru 101.07 Ru.upf
Ce 140.12 Ce.upf
Pa 231.04 Pa.upf
ATOMIC_POSITIONS crystal
Ru 0.125 0.625 0.625
Ru 0.625 0.625 0.125
Ru 0.625 0.625 0.625
Ru 0.625 0.125 0.625
Ce 0.250 0.250 0.250
Pa 0.000 0.000 0.000
CELL_PARAMETERS angstrom
-3.407 -4.108 0.048
-0.156 -3.386 -4.123
1.833 -4.981 0.566
```

---

(b)
Computed, not measured: a relaxed structure of CePaRu4 at the PBE-GGA level of DFT. Values from VASP.

Results
Size of the total moment ... 0.0 μB per cell
Calculated volume ... 108.3 Å³ per cell

```
&SYSTEM
  ibrav = 0, nat = 6, ntyp = 3
/
ATOMIC_SPECIES
Ru 101.07 Ru.upf
Ce 140.12 Ce.upf
Pa 231.04 Pa.upf
ATOMIC_POSITIONS crystal
Ru 0.807 0.530 0.855
Ru 0.193 0.470 0.145
Ru 0.702 0.955 0.641
Ru 0.298 0.045 0.359
Ce 0.000 0.000 0.000
Pa 0.500 0.500 0.500
CELL_PARAMETERS angstrom
3.165 0.000 0.915
1.748 4.449 -0.114
-0.531 -1.616 7.764
```

---

Each structure's energy above the most stable one, in eV/atom: (a) 0.000; (b) 0.154.

---

(a)
Computed, not measured: a relaxed structure of Ce2PaRu at the PBE-GGA level of DFT. Values from VASP.

Results
Size of the total moment ... 0.0 μB per cell
Calculated volume ... 91.5 Å³ per cell

```
&SYSTEM
  ibrav = 0, nat = 4, ntyp = 3
/
ATOMIC_SPECIES
Ce 140.12 Ce.upf
Ru 101.07 Ru.upf
Pa 231.04 Pa.upf
ATOMIC_POSITIONS crystal
Ce 0.000 0.000 0.779
Ce 0.000 0.000 0.221
Ru 0.500 0.500 0.000
Pa 0.500 0.500 0.500
CELL_PARAMETERS angstrom
-1.400 3.156 -0.010
-2.748 -1.225 -1.694
-3.449 -1.509 6.685
```

---

(b)
Computed, not measured: a relaxed structure of Ce2PaRu at the PBE-GGA level of DFT. Values from VASP.

Results
Size of the total moment ... 0.0 μB per cell
Calculated volume ... 94.3 Å³ per cell

```
&SYSTEM
  ibrav = 0, nat = 4, ntyp = 3
/
ATOMIC_SPECIES
Ru 101.07 Ru.upf
Pa 231.04 Pa.upf
Ce 140.12 Ce.upf
ATOMIC_POSITIONS crystal
Ru 0.877 0.002 0.994
Pa 0.377 0.001 0.822
Ce 0.879 0.996 0.544
Ce 0.378 0.998 0.251
CELL_PARAMETERS angstrom
-3.989 -2.640 -1.182
-0.957 -3.331 0.398
-3.187 1.751 6.843
```

---

(c)
Computed, not measured: a relaxed structure of Ce2PaRu at the PBE-GGA level of DFT. Values from VASP.

Results
Size of the total moment ... 0.0 μB per cell
Calculated volume ... 87.7 Å³ per cell

```
&SYSTEM
  ibrav = 0, nat = 4, ntyp = 3
/
ATOMIC_SPECIES
Ce 140.12 Ce.upf
Pa 231.04 Pa.upf
Ru 101.07 Ru.upf
ATOMIC_POSITIONS crystal
Ce 0.246 0.246 0.263
Ce 0.754 0.754 0.737
Pa 0.000 0.000 0.000
Ru 0.500 0.500 0.500
CELL_PARAMETERS angstrom
4.605 0.000 0.000
2.302 3.988 0.000
2.302 1.329 4.777
```

---

Each structure's energy above the most stable one, in eV/atom: (a) 0.059; (b) 0.000; (c) 0.264.

---

(a)
Computed, not measured: a relaxed structure of CePaS2 at the PBE-GGA level of DFT. Values from VASP.

Results
Size of the total moment ... 2.7 μB per cell
Calculated volume ... 113.9 Å³ per cell

```
&SYSTEM
  ibrav = 0, nat = 4, ntyp = 3
/
ATOMIC_SPECIES
S 32.06 S.upf
Ce 140.12 Ce.upf
Pa 231.04 Pa.upf
ATOMIC_POSITIONS crystal
S 0.103 0.103 0.692
S 0.897 0.897 0.308
Ce 0.500 0.500 0.500
Pa 0.000 0.000 0.000
CELL_PARAMETERS angstrom
-1.537 2.451 -2.646
-1.720 -1.423 -3.223
-8.580 0.086 2.158
```

---

(b)
Computed, not measured: a relaxed structure of CePaS2 at the PBE-GGA level of DFT. Values from VASP.

Results
Size of the total moment ... 0.7 μB per cell
Calculated volume ... 87.3 Å³ per cell

```
&SYSTEM
  ibrav = 0, nat = 4, ntyp = 3
/
ATOMIC_SPECIES
Pa 231.04 Pa.upf
Ce 140.12 Ce.upf
S 32.06 S.upf
ATOMIC_POSITIONS crystal
Pa 0.000 0.000 0.000
Ce 0.500 0.500 0.500
S 0.252 0.252 0.243
S 0.748 0.748 0.757
CELL_PARAMETERS angstrom
-0.729 -1.041 3.705
-2.452 -2.960 0.750
3.964 -5.555 1.297
```

---

(c)
Computed, not measured: a relaxed structure of CePaS2 at the PBE-GGA level of DFT. Values from VASP.

Results
Size of the total moment ... 2.4 μB per cell
Calculated volume ... 82.0 Å³ per cell

```
&SYSTEM
  ibrav = 0, nat = 4, ntyp = 3
/
ATOMIC_SPECIES
S 32.06 S.upf
Ce 140.12 Ce.upf
Pa 231.04 Pa.upf
ATOMIC_POSITIONS crystal
S 0.000 0.000 0.238
S 0.000 0.000 0.762
Ce 0.500 0.500 0.500
Pa 0.500 0.500 0.000
CELL_PARAMETERS angstrom
3.440 0.000 0.000
0.000 3.440 0.000
0.000 0.000 6.929
```

---

Each structure's energy above the most stable one, in eV/atom: (a) 0.725; (b) 0.000; (c) 0.408.